# 1
Entry from the Open Quantum Materials Database: a relaxed ScNi3H crystal (PBE).

Properties
As for the final energy: -5.6712 eV/atom. For the density, the calculation gives 7.1 g/cm³.

Geometry as POSCAR:
```
ScNi3H
1.0
3.737 0.000 0.000
0.000 3.737 0.000
0.000 0.000 3.737
Sc Ni H
1 3 1
direct
0.000 0.000 0.000
0.000 0.500 0.500
0.500 0.000 0.500
0.500 0.500 0.000
0.500 0.500 0.500
```

=====

# 2
Entry from the Open Quantum Materials Database: a relaxed Cs2AgMoCl6 crystal (PBE).

Properties
As for the final energy: -3.9085 eV/atom. For the density, the calculation gives 4.0 g/cm³.

Geometry as POSCAR:
```
Cs2AgMoCl6
1.0
6.389 -3.684 0.000
6.389 3.684 0.000
-4.281 0.000 6.039
Cs Ag Mo Cl
2 1 1 6
direct
0.249 0.249 0.249
0.751 0.751 0.751
0.500 0.500 0.000
0.000 0.000 0.500
0.230 0.755 0.728
0.237 0.237 0.751
0.245 0.770 0.272
0.755 0.230 0.728
0.763 0.763 0.249
0.770 0.245 0.272
```

=====

# 3
Entry from the Open Quantum Materials Database: a relaxed CsPrAl crystal (PBE).

Properties
As for the final energy: -2.4039 eV/atom. For the density, the calculation gives 4.2 g/cm³.

Geometry as POSCAR:
```
CsPrAl
1.0
0.000 3.906 3.906
3.906 0.000 3.906
3.906 3.906 0.000
Cs Pr Al
1 1 1
direct
0.000 0.000 0.000
0.750 0.750 0.750
0.500 0.500 0.500
```

=====

# 4
Entry from the Open Quantum Materials Database: a relaxed Cs2Zn2S3O12 crystal (PBE).

Properties
As for the final energy: -5.6092 eV/atom. For the density, the calculation gives 3.8 g/cm³.

Geometry as POSCAR:
```
Cs2Zn2S3O12
1.0
4.824 0.000 0.000
0.000 14.710 0.000
0.000 0.000 16.936
Cs Zn S O
8 8 12 48
direct
0.009 0.184 0.390
0.040 0.922 0.495
0.460 0.078 0.995
0.491 0.816 0.890
0.509 0.316 0.610
0.540 0.578 0.505
0.960 0.422 0.005
0.991 0.684 0.110
0.021 0.991 0.206
0.068 0.711 0.700
0.432 0.289 0.200
0.479 0.009 0.706
0.521 0.509 0.794
0.568 0.789 0.300
0.932 0.211 0.800
0.979 0.491 0.294
0.020 0.502 0.664
0.027 0.631 0.862
0.041 0.688 0.367
0.459 0.312 0.867
0.473 0.369 0.362
0.480 0.498 0.164
0.520 0.998 0.336
0.527 0.869 0.138
0.541 0.812 0.633
0.959 0.188 0.133
0.973 0.131 0.638
0.980 0.002 0.836
0.010 0.588 0.376
0.015 0.673 0.940
0.026 0.450 0.590
0.085 0.218 0.211
0.091 0.234 0.067
0.100 0.197 0.697
0.125 0.044 0.640
0.133 0.595 0.647
0.155 0.293 0.865
0.177 0.383 0.338
0.187 0.457 0.726
0.224 0.988 0.310
0.276 0.012 0.810
0.313 0.543 0.226
0.323 0.617 0.838
0.345 0.707 0.365
0.367 0.405 0.147
0.375 0.956 0.140
0.400 0.803 0.197
0.409 0.766 0.567
0.415 0.782 0.711
0.474 0.550 0.090
0.485 0.327 0.440
0.490 0.412 0.876
0.510 0.912 0.624
0.515 0.827 0.060
0.526 0.050 0.410
0.585 0.282 0.789
0.591 0.266 0.933
0.600 0.303 0.303
0.625 0.456 0.360
0.633 0.905 0.353
0.655 0.207 0.135
0.677 0.117 0.662
0.687 0.043 0.274
0.724 0.512 0.690
0.776 0.488 0.190
0.813 0.957 0.774
0.823 0.883 0.162
0.845 0.793 0.635
0.867 0.095 0.853
0.875 0.544 0.860
0.900 0.697 0.803
0.909 0.734 0.433
0.915 0.718 0.289
0.974 0.950 0.910
0.985 0.173 0.560
0.990 0.088 0.124
```

=====

# 5
Entry from the Open Quantum Materials Database: a relaxed Cs3AgAs2 crystal (PBE).

Properties
As for the final energy: -2.7541 eV/atom. For the density, the calculation gives 4.5 g/cm³.

Geometry as POSCAR:
```
Cs3AgAs2
1.0
5.301 -5.497 0.000
5.301 5.497 0.000
-0.235 0.000 8.326
Cs Ag As
6 2 4
direct
0.111 0.889 0.750
0.267 0.379 0.974
0.379 0.267 0.474
0.621 0.733 0.526
0.733 0.621 0.026
0.889 0.111 0.250
0.246 0.754 0.250
0.754 0.246 0.750
0.001 0.564 0.360
0.436 0.999 0.140
0.564 0.001 0.860
0.999 0.436 0.640
```

=====

# 6
Entry from the Open Quantum Materials Database: a relaxed Sm2Nb2O5 crystal (PBE).

Properties
As for the final energy: -8.4038 eV/atom. For the density, the calculation gives 8.1 g/cm³.

Geometry as POSCAR:
```
Sm2Nb2O5
1.0
4.073 0.000 0.000
0.000 4.073 0.000
0.000 0.000 7.029
Sm Nb O
2 2 5
direct
0.000 0.000 0.000
0.000 0.000 0.500
0.500 0.500 0.196
0.500 0.500 0.804
0.000 0.500 0.247
0.000 0.500 0.753
0.500 0.000 0.247
0.500 0.000 0.753
0.500 0.500 0.500
```

=====

# 7
Entry from the Open Quantum Materials Database: a relaxed HfGe2N crystal (PBE).

Properties
As for the final energy: -6.5960 eV/atom. For the density, the calculation gives 9.6 g/cm³.

Geometry as POSCAR:
```
HfGe2N
1.0
3.028 0.000 0.000
-1.514 2.622 0.000
0.000 0.000 14.736
Hf Ge N
2 4 2
direct
0.333 0.667 0.250
0.667 0.333 0.750
0.333 0.667 0.594
0.333 0.667 0.906
0.667 0.333 0.094
0.667 0.333 0.406
0.000 0.000 0.000
0.000 0.000 0.500
```

=====

# 8
Entry from the Open Quantum Materials Database: a relaxed Rb3Cd4Au4 crystal (PBE).

Properties
As for the final energy: -2.0257 eV/atom. For the density, the calculation gives 7.3 g/cm³.

Geometry as POSCAR:
```
Rb3Cd4Au4
1.0
-4.396 4.396 4.396
4.396 -4.396 4.396
4.396 4.396 -4.396
Rb Cd Au
3 4 4
direct
0.000 0.500 0.500
0.500 0.000 0.500
0.500 0.500 0.000
0.000 0.000 0.255
0.000 0.255 0.000
0.255 0.000 0.000
0.745 0.745 0.745
0.000 0.000 0.617
0.000 0.617 0.000
0.383 0.383 0.383
0.617 0.000 0.000
```

=====

# 9
Entry from the Open Quantum Materials Database: a relaxed CuNiBiMo crystal (PBE).

Properties
As for the final energy: -5.4576 eV/atom. For the density, the calculation gives 10.8 g/cm³.

Geometry as POSCAR:
```
CuNiBiMo
1.0
0.000 3.199 3.199
3.199 0.000 3.199
3.199 3.199 0.000
Cu Ni Bi Mo
1 1 1 1
direct
0.000 0.000 0.000
0.250 0.250 0.250
0.750 0.750 0.750
0.500 0.500 0.500
```

=====

# 10
Entry from the Open Quantum Materials Database: a relaxed ReS2 crystal (PBE).

Properties
As for the final energy: -5.5061 eV/atom. For the density, the calculation gives 9.6 g/cm³.

Geometry as POSCAR:
```
ReS2
1.0
2.129 -3.670 0.000
2.129 3.670 0.000
0.000 0.000 2.783
Re S
1 2
direct
0.000 0.000 0.000
0.333 0.667 0.500
0.667 0.333 0.500
```

=====

# 11
Entry from the Open Quantum Materials Database: a relaxed GdNiPd crystal (PBE).

Properties
As for the final energy: -5.5237 eV/atom. Its formation energy is -0.391 eV/atom. For the density, the calculation gives 8.9 g/cm³.

Geometry as POSCAR:
```
GdNiPd
1.0
0.000 3.106 3.106
3.106 0.000 3.106
3.106 3.106 0.000
Gd Ni Pd
1 1 1
direct
0.000 0.000 0.000
0.250 0.250 0.250
0.500 0.500 0.500
```

=====

# 12
Entry from the Open Quantum Materials Database: a relaxed KReNO crystal (PBE).

Properties
As for the final energy: -7.2539 eV/atom. For the density, the calculation gives 6.0 g/cm³.

Geometry as POSCAR:
```
KReNO
1.0
3.587 0.000 0.000
0.000 6.342 0.000
0.000 0.000 6.212
K Re N O
2 2 2 2
direct
0.000 0.202 0.000
0.000 0.798 0.500
0.500 0.340 0.496
0.500 0.660 0.996
0.500 0.499 0.245
0.500 0.501 0.745
0.000 0.206 0.496
0.000 0.794 0.996
```

=====

# 13
Entry from the Open Quantum Materials Database: a relaxed SmIrPb2O6 crystal (PBE).

Properties
As for the final energy: -6.5974 eV/atom. For the density, the calculation gives 9.8 g/cm³.

Geometry as POSCAR:
```
SmIrPb2O6
1.0
5.782 0.000 0.000
-2.869 5.071 0.000
-2.844 -1.700 4.907
Sm Ir Pb O
1 1 2 6
direct
0.000 0.000 0.000
0.000 0.500 0.500
0.480 0.249 0.722
0.520 0.751 0.278
0.021 0.796 0.333
0.086 0.725 0.815
0.464 0.673 0.675
0.536 0.327 0.325
0.914 0.275 0.185
0.979 0.204 0.667
```

=====

# 14
Entry from the Open Quantum Materials Database: a relaxed PuCdCo crystal (PBE).

Properties
As for the final energy: -7.1671 eV/atom. Its formation energy is 0.209 eV/atom. For the density, the calculation gives 11.3 g/cm³.

Geometry as POSCAR:
```
PuCdCo
1.0
0.000 3.124 3.124
3.124 0.000 3.124
3.124 3.124 0.000
Pu Cd Co
1 1 1
direct
0.000 0.000 0.000
0.500 0.500 0.500
0.750 0.750 0.750
```

=====

# 15
Entry from the Open Quantum Materials Database: a relaxed TmGa2FePd4 crystal (PBE).

Properties
As for the final energy: -5.5232 eV/atom. For the density, the calculation gives 10.4 g/cm³.

Geometry as POSCAR:
```
TmGa2FePd4
1.0
4.373 0.000 0.000
0.000 4.373 0.000
0.000 0.000 6.596
Tm Ga Fe Pd
1 2 1 4
direct
0.000 0.000 0.000
0.000 0.000 0.500
0.500 0.500 0.000
0.500 0.500 0.500
0.000 0.500 0.274
0.000 0.500 0.726
0.500 0.000 0.274
0.500 0.000 0.726
```

=====

# 16
Entry from the Open Quantum Materials Database: a relaxed ErIrOs crystal (PBE).

Properties
As for the final energy: -8.8116 eV/atom. Its formation energy is -0.597 eV/atom. For the density, the calculation gives 17.1 g/cm³.

Geometry as POSCAR:
```
ErIrOs
1.0
8.848 0.000 0.000
0.000 2.657 4.551
0.000 -2.657 4.551
Er Ir Os
4 4 4
direct
0.181 0.000 0.000
0.317 0.333 0.333
0.683 0.333 0.333
0.819 0.000 0.000
0.000 0.010 0.501
0.000 0.501 0.010
0.249 0.664 0.664
0.751 0.664 0.664
0.000 0.497 0.497
0.500 0.326 0.838
0.500 0.838 0.326
0.500 0.841 0.841
```

=====

# 17
Entry from the Open Quantum Materials Database: a relaxed HfFeNiBi crystal (PBE).

Properties
As for the final energy: -6.6662 eV/atom. For the density, the calculation gives 11.9 g/cm³.

Geometry as POSCAR:
```
HfFeNiBi
1.0
0.000 3.273 3.273
3.273 0.000 3.273
3.273 3.273 0.000
Hf Fe Ni Bi
1 1 1 1
direct
0.000 0.000 0.000
0.750 0.750 0.750
0.500 0.500 0.500
0.250 0.250 0.250
```

=====

# 18
Entry from the Open Quantum Materials Database: a relaxed Ba3NiH6 crystal (PBE).

Properties
As for the final energy: -3.3214 eV/atom. For the density, the calculation gives 5.1 g/cm³.

Geometry as POSCAR:
```
Ba3NiH6
1.0
0.000 4.253 4.253
4.253 0.000 4.253
4.253 4.253 0.000
Ba Ni H
3 1 6
direct
0.000 0.000 0.000
0.250 0.250 0.250
0.750 0.750 0.750
0.500 0.500 0.500
0.303 0.303 0.697
0.303 0.697 0.303
0.303 0.697 0.697
0.697 0.303 0.303
0.697 0.303 0.697
0.697 0.697 0.303
```

=====

# 19
Entry from the Open Quantum Materials Database: a relaxed YSnAuS3 crystal (PBE).

Properties
As for the final energy: -5.3341 eV/atom. For the density, the calculation gives 5.6 g/cm³.

Geometry as POSCAR:
```
YSnAuS3
1.0
11.539 0.000 0.000
0.000 4.015 0.000
0.000 0.000 12.733
Y Sn Au S
4 4 4 12
direct
0.021 0.250 0.155
0.479 0.750 0.655
0.521 0.250 0.345
0.979 0.750 0.845
0.161 0.250 0.569
0.339 0.750 0.069
0.661 0.250 0.931
0.839 0.750 0.431
0.206 0.750 0.388
0.294 0.250 0.888
0.706 0.750 0.112
0.794 0.250 0.612
0.025 0.750 0.304
0.101 0.250 0.946
0.243 0.750 0.687
0.257 0.250 0.187
0.399 0.750 0.446
0.475 0.250 0.804
0.525 0.750 0.196
0.601 0.250 0.554
0.743 0.750 0.813
0.757 0.250 0.313
0.899 0.750 0.054
0.975 0.250 0.696
```

=====

# 20
Entry from the Open Quantum Materials Database: a relaxed TaHg2B crystal (PBE).

Properties
As for the final energy: -3.5047 eV/atom. For the density, the calculation gives 14.2 g/cm³.

Geometry as POSCAR:
```
TaHg2B
1.0
0.000 3.262 3.262
3.262 0.000 3.262
3.262 3.262 0.000
Ta Hg B
1 2 1
direct
0.000 0.000 0.000
0.250 0.250 0.250
0.500 0.500 0.500
0.750 0.750 0.750
```

=====

# 21
Entry from the Open Quantum Materials Database: a relaxed ErHfSnC crystal (PBE).

Properties
As for the final energy: -7.6339 eV/atom. For the density, the calculation gives 10.2 g/cm³.

Geometry as POSCAR:
```
ErHfSnC
1.0
3.438 0.000 0.000
-1.719 2.977 0.000
0.000 0.000 15.106
Er Hf Sn C
2 2 2 2
direct
0.333 0.667 0.000
0.667 0.333 0.500
0.333 0.667 0.669
0.667 0.333 0.169
0.333 0.667 0.329
0.667 0.333 0.829
0.000 0.000 0.095
0.000 0.000 0.595
```